# ScHg2Rh GGA-PBE relaxed
data_ScHg2Rh
_cell_length_a 4.1677
_cell_length_b 4.1677
_cell_length_c 8.6685
_cell_angle_alpha 90.00
_cell_angle_beta 90.00
_cell_angle_gamma 90.00
_symmetry_space_group_name_H-M 'I 4/m m m'
_symmetry_Int_Tables_number 139
_symmetry_space_group_name_Hall '-I 4 2'
loop_
_atom_site_label
_atom_site_fract_x
_atom_site_fract_y
_atom_site_fract_z
Sc1 0.0000 0.0000 0.0000
Hg1 0.0000 0.5000 0.2500
Rh1 0.0000 0.0000 0.5000
# ρ: 12.110 g cm⁻³
# final energy: -3.941 eV per atom